# PBE+U CoSnNF2, optimized geometry
# DOS at the Fermi energy in states/eV/cell: 2.95
# ΔE to the lowest computed polymorph in eV/atom: 0.296
# E_tot in eV per formula unit: -23.16
data_CoSnNF2
_chemical_formula_sum 'Co1 Sn1 N1 F2'
_symmetry_space_group_name_H-M 'P 4/m m m'
_symmetry_Int_Tables_number 123
_symmetry_space_group_name_Hall '-P 4 2'
_cell_length_a 4.272
_cell_length_b 4.272
_cell_length_c 3.970
_cell_angle_alpha 90.00
_cell_angle_beta 90.00
_cell_angle_gamma 90.00
loop_
_atom_site_label
_atom_site_type_symbol
_atom_site_fract_x
_atom_site_fract_y
_atom_site_fract_z
Co1 Co 0.000 0.000 0.000
Sn1 Sn 0.500 0.500 0.500
N1 N 0.500 0.500 0.000
F1 F 0.000 0.500 0.500